A.
HfCrFe, optimized geometry, DFT PBE; space-group type = Cmcm, No. 63; volume = 14.7 A^3/atom
1.0
1.8979 -5.1908 0.0000
1.8979 5.1908 0.0000
0.0000 0.0000 4.4653
Hf Cr Fe
2 2 2
Direct
0.0938 0.9062 0.7500
0.9062 0.0938 0.2500
0.3953 0.6047 0.7500
0.6047 0.3953 0.2500
0.2248 0.7752 0.2500
0.7752 0.2248 0.7500


B.
HfCrFe, optimized geometry, DFT PBE; space-group type = Imma, No. 74; volume = 14.2 A^3/atom
1.0
-2.3771 2.5686 3.4765
2.3771 -2.5686 3.4765
2.3771 2.5686 -3.4765
Hf Cr Fe
2 2 2
Direct
0.3723 0.1223 0.2500
0.6277 0.8777 0.7500
0.0000 0.0000 0.5000
0.0000 0.5000 0.0000
0.0000 0.5000 0.5000
0.5000 0.5000 0.0000


Energy relative to the most stable one, in eV/atom: A 0.338; B 0.000


A.
CrFeHg, optimized geometry, DFT PBE; space-group type = P3m1, No. 156; volume = 15.4 A^3/atom
1.0
4.3373 0.0000 0.0000
-2.1686 3.7562 0.0000
0.0000 0.0000 2.8426
Cr Fe Hg
1 1 1
Direct
0.0000 0.0000 0.0000
0.6667 0.3333 0.0730
0.3333 0.6667 0.5312


B.
CrFeHg, optimized geometry, DFT PBE; space-group type = I4mm, No. 107; volume = 15.2 A^3/atom
1.0
-1.4474 1.4474 5.4241
1.4474 -1.4474 5.4241
1.4474 1.4474 -5.4241
Cr Fe Hg
1 1 1
Direct
0.0000 0.0000 0.0000
0.6167 0.6167 0.0000
0.3048 0.3048 0.0000


C.
CrFeHg, optimized geometry, DFT PBE; space-group type = F-43m, No. 216; volume = 18.6 A^3/atom
1.0
0.0000 3.0310 3.0310
3.0310 0.0000 3.0310
3.0310 3.0310 0.0000
Cr Fe Hg
1 1 1
Direct
0.0000 0.0000 0.0000
0.7500 0.7500 0.7500
0.5000 0.5000 0.5000


Energy relative to the most stable one, in eV/atom: A 0.136; B 0.000; C 0.320


A.
Cr2FeI, optimized geometry, DFT PBE; space-group type = Fm-3m, No. 225; volume = 13.5 A^3/atom
1.0
0.0000 3.0033 3.0033
3.0033 0.0000 3.0033
3.0033 3.0033 0.0000
Cr Fe I
2 1 1
Direct
0.2500 0.2500 0.2500
0.7500 0.7500 0.7500
0.0000 0.0000 0.0000
0.5000 0.5000 0.5000


B.
Cr2FeI, optimized geometry, DFT PBE; space-group type = I-42d, No. 122; volume = 16.9 A^3/atom
1.0
-3.4797 3.4797 2.7886
3.4797 -3.4797 2.7886
3.4797 3.4797 -2.7886
Cr Fe I
4 2 2
Direct
0.0866 0.6250 0.9616
0.3750 0.3366 0.4616
0.6634 0.1250 0.0384
0.8750 0.9134 0.5384
0.0000 0.0000 0.0000
0.7500 0.2500 0.5000
0.2500 0.7500 0.5000
0.5000 0.5000 0.0000


Energy relative to the most stable one, in eV/atom: A 0.000; B 0.006